# Sm5YTm3, optimized geometry, DFT PBE
data_Sm5YTm3
_cell_length_a 15.154
_cell_length_b 11.578
_cell_length_c 9.867
_cell_angle_alpha 90.00
_cell_angle_beta 129.64
_cell_angle_gamma 90.00
_space_group_name_H-M_alt 'C 1 2/m 1'
_space_group_IT_number 12
loop_
_space_group_symop_operation_xyz
'x,y,z'
'-x,-y,-z'
'-x,y,-z'
'x,-y,z'
'x+1/2,y+1/2,z'
'-x+1/2,-y+1/2,-z'
'-x+1/2,y+1/2,-z'
'x+1/2,-y+1/2,z'
loop_
_atom_site_label
_atom_site_type_symbol
_atom_site_fract_x
_atom_site_fract_y
_atom_site_fract_z
_atom_site_occupancy
Sm1 Sm 0.000 0.245 0.000 1
Sm2 Sm 0.145 0.247 0.744 1
Sm3 Sm 0.223 0.500 0.043 1
Sm4 Sm 0.228 0.000 0.237 1
Y1 Y 0.247 0.000 0.593 1
Tm1 Tm 0.000 0.000 0.500 1
Tm2 Tm 0.000 0.500 0.000 1
Tm3 Tm 0.009 0.000 0.825 1
Tm4 Tm 0.016 0.500 0.355 1
# formation energy from the elements = 48 kJ per mole of atoms
# theoretical density = 6.7 g/cm³
# total DFT energy (no corrections) = -156.1 eV/cell
# polymorph energy (0 for the lowest one) = 34.9 kJ/mol of atoms